The following is a DFT calculation (PBE-GGA) of crystalline LiBe2Au2 at its relaxed geometry.

Values from the calculation:
energy above the lowest structure with this stoichiometry = 0.0632 eV/atom

extended XYZ file:
```
5
Lattice="2.3714 -2.3714 0.0000 2.3714 2.3714 0.0000 -2.3714 0.0000 6.1204" Properties=species:S:1:pos:R:3 pbc="T T T"
Be 1.1857 1.1857 3.0602
Be 1.1857 -1.1857 3.0602
Li 0.0000 0.0000 0.0000
Au 0.0000 0.0000 4.7275
Au 2.3714 0.0000 1.3930
```

The following is a DFT calculation (PBE-GGA) of crystalline Gd3Pd at its relaxed geometry.

Values from the calculation:
DFT formation energy = -459.2 meV/atom
magnetization = 0.010 μB per formula unit

extended XYZ file:
```
16
Lattice="7.1070 0.0000 0.0000 0.0000 9.7602 0.0000 0.0000 0.0000 6.4570" Properties=species:S:1:pos:R:3 pbc="T T T"
Pd 6.3066 2.4401 3.6478
Pd 4.3539 7.3202 0.4193
Pd 2.7531 2.4401 6.0377
Pd 0.8004 7.3202 2.8092
Gd 1.2894 4.3015 4.3326
Gd 6.9366 7.3202 5.5870
Gd 4.8429 4.3015 5.3529
Gd 4.8429 0.5786 5.3529
Gd 2.2641 5.4587 1.1041
Gd 3.3831 7.3202 4.0985
Gd 2.2641 9.1816 1.1041
Gd 5.8176 9.1816 2.1244
Gd 0.1704 2.4401 0.8700
Gd 3.7239 2.4401 2.3585
Gd 5.8176 5.4587 2.1244
Gd 1.2894 0.5786 4.3326
```

The following is a DFT calculation (PBE-GGA) of crystalline Lu2Sc2O5 at its relaxed geometry.

Values from the calculation:
magnetization = 0.005 μB per formula unit
energy above the lowest structure with this stoichiometry = 0.0494 eV/atom

extended XYZ file:
```
9
Lattice="7.2186 0.0000 0.0000 0.0000 4.0118 0.0000 0.0000 0.0000 4.0118" Properties=species:S:1:pos:R:3 pbc="T T T"
O 5.6141 0.0000 2.0059
O 1.6045 2.0059 0.0000
O 3.6093 2.0059 2.0059
O 1.6045 0.0000 2.0059
O 5.6141 2.0059 0.0000
Lu 3.6093 0.0000 0.0000
Lu 0.0000 0.0000 0.0000
Sc 1.6226 2.0059 2.0059
Sc 5.5961 2.0059 2.0059
```

The following is a DFT calculation (PBE-GGA) of crystalline PmSmCd6 at its relaxed geometry.

Values from the calculation:
DFT formation energy = -318.7 meV/atom
magnetization = 0.010 μB per formula unit

extended XYZ file:
```
8
Lattice="-0.2700 1.7002 -4.6295 -5.1429 -4.0212 -1.1769 -6.0085 2.5074 1.2712" Properties=species:S:1:pos:R:3 pbc="T T T"
Pm -1.1647 -0.1581 0.0099
Cd -6.4642 -0.8776 0.0547
Cd -7.3101 -1.5815 -2.7893
Cd -3.5470 -2.3424 -0.6534
Cd -7.6897 1.2820 -1.7156
Cd -4.0317 1.3135 0.7175
Cd -10.3888 -0.5420 -2.2280
Sm -4.5462 0.2512 -2.2774
```

The following is a DFT calculation (PBE-GGA) of crystalline Li4TlNi2Sb at its relaxed geometry.

Values from the calculation:
VASP energy = -27.55 eV/cell
magnetization = 0.002 μB per formula unit

extended XYZ file:
```
8
Lattice="-2.4403 -3.5708 0.5344 1.4105 -0.3490 4.1085 -4.6867 3.4881 1.9053" Properties=species:S:1:pos:R:3 pbc="T T T"
Sb 0.0000 0.0000 0.0000
Li -2.3901 -0.9146 0.7428
Li -2.8115 2.4428 3.4839
Li -0.5149 -1.9599 2.3215
Li -2.3433 1.7440 0.9527
Ni -0.3856 0.6374 2.4977
Ni -4.8159 0.8908 1.7290
Tl -2.8582 -0.2159 3.2741
```

The following is a DFT calculation (PBE-GGA) of crystalline PrAgGeSeS2 at its relaxed geometry.

Values from the calculation:
VASP energy = -57.25 eV/cell
magnetization = 0.001 μB per formula unit

extended XYZ file:
```
12
Lattice="4.3920 1.8431 4.8208 -6.3902 0.4167 -2.2179 -2.6230 -9.0629 5.8548" Properties=species:S:1:pos:R:3 pbc="T T T"
Se -7.0915 -6.2130 2.9996
Se 2.4703 -0.5901 5.4580
S -0.5610 -2.5000 4.7891
S 0.3471 0.6379 2.7621
S -4.9683 -7.4410 5.6956
S -4.0601 -4.3031 3.6685
Ag -3.1878 -5.6966 5.5480
Ag -1.4333 -1.1065 2.9097
Ge 0.0264 -5.2714 7.6462
Ge -4.6476 -1.5317 0.8115
Pr -1.3115 -4.5315 2.9274
Pr 0.0000 0.0000 0.0000
```

The following is a DFT calculation (PBE-GGA) of crystalline LaSmAu at its relaxed geometry.

Values from the calculation:
DFT formation energy = -14.9 meV/atom
magnetization = 0.000 μB per formula unit

extended XYZ file:
```
3
Lattice="-2.1373 3.5416 2.7503 -2.0498 3.9544 -2.1991 -4.9382 0.5366 -0.0426" Properties=species:S:1:pos:R:3 pbc="T T T"
Au -2.2813 2.0081 0.1271
Sm 0.0000 0.0000 0.0000
La -6.8440 6.0244 0.3814
```

The following is a DFT calculation (PBE-GGA) of crystalline Nb2InS4Cl at its relaxed geometry.

Values from the calculation:
VASP energy = -95.01 eV/cell
magnetization = 0.022 μB per formula unit

extended XYZ file:
```
16
Lattice="9.0379 -1.7694 0.0000 9.0379 1.7694 0.0000 -5.0410 0.0000 10.7780" Properties=species:S:1:pos:R:3 pbc="T T T"
S 2.1107 0.0000 7.0060
S 10.6789 0.0000 0.0694
S 14.2830 0.0000 7.8797
S 2.3559 0.0000 10.7086
S 10.9241 0.0000 3.7720
S -1.2482 0.0000 2.8982
S 13.5037 0.0000 1.8156
S -0.4689 0.0000 8.9624
Nb 6.2696 0.0000 2.0892
Nb 6.7652 0.0000 8.6888
Nb 3.3683 0.0000 0.3811
Nb 9.6665 0.0000 10.3969
Cl 5.0971 0.0000 4.5873
Cl 7.9377 0.0000 6.1907
In 0.5196 0.0000 4.9254
In 12.5152 0.0000 5.8525
```

The following is a DFT calculation (PBE-GGA) of crystalline Ho3Mg3Zn2In at its relaxed geometry.

Values from the calculation:
VASP energy = -26.14 eV/cell
magnetization = 0.013 μB per formula unit

extended XYZ file:
```
9
Lattice="7.2607 0.0000 0.0000 -3.6303 6.2879 0.0000 0.0000 0.0000 4.6102" Properties=species:S:1:pos:R:3 pbc="T T T"
In 0.0000 0.0000 0.0000
Zn 0.0000 4.1920 2.3051
Zn 3.6303 2.0960 2.3051
Mg -0.9049 1.5673 2.3051
Mg 2.7255 4.7207 2.3051
Mg 1.8097 0.0000 2.3051
Ho 1.5777 2.7326 0.0000
Ho 4.1054 0.0000 0.0000
Ho -2.0527 3.5554 0.0000
```

The following is a DFT calculation (PBE-GGA) of crystalline BaNbO3 at its relaxed geometry.

Values from the calculation:
VASP energy = -40.67 eV/cell
magnetization = 0.001 μB per formula unit

extended XYZ file:
```
5
Lattice="4.1246 0.0000 0.0000 0.0000 4.1246 0.0000 0.0000 0.0000 4.1246" Properties=species:S:1:pos:R:3 pbc="T T T"
O 2.0623 2.0623 0.0000
O 0.0000 2.0623 2.0623
O 2.0623 0.0000 2.0623
Nb 2.0623 2.0623 2.0623
Ba 0.0000 0.0000 0.0000
```

The following is a DFT calculation (PBE-GGA) of crystalline HoSi2O4 at its relaxed geometry.

Values from the calculation:
VASP energy = -92.89 eV/cell
magnetization = 0.004 μB per formula unit

extended XYZ file:
```
14
Lattice="-5.3747 0.2547 3.3504 0.2123 2.4524 -5.8410 0.2069 -6.2834 0.8081" Properties=species:S:1:pos:R:3 pbc="T T T"
O -2.7985 -3.4912 -1.5676
O -0.5116 -4.6904 -0.4643
O -3.0372 -0.3815 -2.1861
O -3.0638 -4.5310 1.4254
O -0.4168 -3.6031 -3.0525
O -3.1546 -1.7466 1.0667
O -0.6554 -0.4934 -3.6710
O -0.6025 -1.9060 -0.8229
Ho 0.0000 0.0000 0.0000
Ho -3.8731 -0.1536 -0.2057
Si -1.8331 -3.2185 0.3012
Si -1.8304 1.1494 -3.0234
Si -4.5205 -3.0911 1.9764
Si -1.7270 -1.9923 -2.6193
```

The following is a DFT calculation (PBE-GGA) of crystalline Ta5Co at its relaxed geometry.

Values from the calculation:
DFT formation energy = 9.2 meV/atom
magnetization = 0.036 μB per formula unit
energy above the lowest structure with this stoichiometry = 0.0000 eV/atom

extended XYZ file:
```
12
Lattice="3.1689 2.9240 2.8244 -3.2369 -3.0487 2.6070 5.9691 -6.3993 -0.0723" Properties=species:S:1:pos:R:3 pbc="T T T"
Ta 2.0887 -1.0893 4.0374
Ta 2.1217 -1.0288 1.4017
Ta 3.7794 -5.4953 3.9574
Ta -0.6854 -1.4300 2.6761
Ta 6.5865 -5.0941 2.6830
Ta 4.3605 -2.7077 2.7099
Ta 3.8124 -5.4348 1.3217
Ta 0.0000 0.0000 0.0000
Ta 2.9846 -3.1997 -0.0361
Ta 1.5406 -3.8164 2.6492
Co 3.6561 0.3870 2.7722
Co 2.2450 -6.9111 2.5869
```

Number 1: theoretical density 10.11 g cm⁻³. Number 2: theoretical density 8.57 g cm⁻³. Number 3: theoretical density 7.43 g cm⁻³. Number 4: theoretical density 8.25 g cm⁻³. Number 5: theoretical density 6.71 g cm⁻³. Number 6: theoretical density 5.38 g cm⁻³. Number 7: theoretical density 9.32 g cm⁻³. Number 8: theoretical density 4.47 g cm⁻³. Number 9: theoretical density 6.42 g cm⁻³. Number 10: theoretical density 6.58 g cm⁻³. Number 11: theoretical density 5.26 g cm⁻³. Number 12: theoretical density 15.37 g cm⁻³.